Material: SnHg5S5
Method: DFT, GGA-PBE
State: relaxed

E	-52.735	eV/cell
magnetization	0.0000	μB/atom

a = 13.707 Å, b = 5.454 Å, c = 8.031 Å
α = 90.00°, β = 113.27°, γ = 90.00°
Space group C2/m (No. 12)
Unique sites:
Sn 0.000 0.000 0.000
Hg 0.000 0.000 0.500
Hg 0.155 0.500 0.817
Hg 0.174 0.500 0.325
S 0.000 0.500 0.000
S 0.140 0.000 0.804
S 0.170 0.000 0.328